A relaxed structure of Nd4Ho, computed with PBE.

Results
offset from the most stable computed form	0.623	eV/atom
spin magnetization	0.0	μB/cell
formation energy from the elements	635	meV/atom
energy	-20.5	eV per cell

Lattice parameters (Å, degrees): 5.839 5.839 5.839 90.00 90.00 90.00
Space group Pm-3m (No. 221)
Asymmetric unit:
Nd  0.000  0.000  0.000 [1 per cell]
Nd  0.000  0.500  0.500 [3 per cell]
Ho  0.500  0.500  0.500 [1 per cell]

***

A relaxed structure of Tb6Pm3DyHo2, computed with PBE.

Results
spin magnetization	0.0	μB/cell
formation energy from the elements	15	meV/atom
energy	-111.2	eV per cell

Lattice parameters (Å, degrees): 6.195 10.724 11.844 90.00 100.00 90.00
Space group C2/m (No. 12)
Asymmetric unit:
Tb  0.249  0.000  0.247 [4 per cell]
Tb  0.249  0.333  0.247 [8 per cell]
Pm  0.000  0.000  0.500 [2 per cell]
Pm  0.000  0.333  0.500 [4 per cell]
Dy  0.000  0.500  0.000 [2 per cell]
Ho  0.000  0.167  0.000 [4 per cell]

***

A relaxed structure of SrZn2Ir, computed with PBE.

Results
spin magnetization	0.0	μB/cell
formation energy from the elements	-79	meV/atom
energy	-13.4	eV per cell

Lattice parameters (Å, degrees): 3.097 3.778 6.611 90.00 90.81 90.00
Space group P2/m (No. 10)
Asymmetric unit:
Sr  0.000  0.000  0.000 [1 per cell]
Zn  0.497  0.500  0.684 [2 per cell]
Ir  0.000  0.000  0.500 [1 per cell]

***

A relaxed structure of Ni2AgPt2, computed with PBE.

Results
offset from the most stable computed form	0.186	eV/atom
spin magnetization	4.3	μB/cell
formation energy from the elements	242	meV/atom
energy	-50.6	eV per cell

Lattice parameters (Å, degrees): 3.539 3.539 12.472 90.00 90.00 90.00
Space group I4/mmm (No. 139)
Asymmetric unit:
Ni  0.000  0.500  0.250 [4 per cell]
Ag  0.000  0.000  0.000 [2 per cell]
Pt  0.000  0.000  0.393 [4 per cell]

***

A relaxed structure of Pm6AlTl5, computed with PBE.

Results
spin magnetization	0.0	μB/cell
formation energy from the elements	-375	meV/atom
energy	-97.1	eV per cell

Lattice parameters (Å, degrees): 5.465 16.399 7.666 90.00 90.00 90.00
Space group Cmmm (No. 65)
Asymmetric unit:
Pm  0.000  0.000  0.244 [4 per cell]
Pm  0.000  0.337  0.247 [8 per cell]
Al  0.000  0.500  0.000 [2 per cell]
Tl  0.000  0.168  0.500 [4 per cell]
Tl  0.000  0.169  0.000 [4 per cell]
Tl  0.000  0.500  0.500 [2 per cell]

***

A relaxed structure of Tb9PmPr2, computed with PBE.

Results
offset from the most stable computed form	0.000	eV/atom
spin magnetization	0.0	μB/cell
formation energy from the elements	19	meV/atom
energy	-55.8	eV per cell

Lattice parameters (Å, degrees): 5.082 5.082 15.239 90.00 90.00 90.00
Space group P4/mmm (No. 123)
Asymmetric unit:
Tb  0.000  0.000  0.000 [1 per cell]
Tb  0.000  0.000  0.333 [2 per cell]
Tb  0.000  0.500  0.166 [4 per cell]
Tb  0.000  0.500  0.500 [2 per cell]
Pm  0.500  0.500  0.000 [1 per cell]
Pr  0.500  0.500  0.333 [2 per cell]